The following is a DFT calculation (PBE) of an optimized crystal structure of K2NiPt.

Values from the calculation:
As for the calculated volume: 186 Å³ per cell. The calculation puts the relative energy among the computed polymorphs at 484 meV/atom. The calculation puts the electronic total energy at -2.924 eV per atom. The formation energy comes out at 0.581 eV/atom.

The structure in CIF format:
```
data_K2NiPt
_space_group_name_H-M_alt 'I -4 m 2'
_space_group_IT_number 119
_space_group_name_Hall 'I -4 -2'
_cell_length_a 5.0802
_cell_length_b 5.0802
_cell_length_c 7.2054
_cell_angle_alpha 90.00
_cell_angle_beta 90.00
_cell_angle_gamma 90.00
loop_
_atom_site_label
_atom_site_fract_x
_atom_site_fract_y
_atom_site_fract_z
K1 0.0000 0.0000 0.0000
K2 0.0000 0.5000 0.2500
Ni1 0.0000 0.5000 0.7500
Pt1 0.0000 0.0000 0.5000
```